Zr2TaGeRh: optimized geometry, PBE-GGA.

abc: 4.9132 4.9132 4.7216
angles: 90.00 90.00 90.00
Fractional positions:
1 Zr 0.0000 0.5000 0.0000
2 Zr 0.5000 0.0000 0.0000
3 Ta 0.0000 0.0000 0.5000
4 Ge 0.0000 0.0000 0.0000
5 Rh 0.5000 0.5000 0.5000

Computed properties:
Formation energy from the elements = 0.6755 eV per atom
Volume = 22.80 Å³ per atom
Density of states at the Fermi level = 1.205 states/eV/atom

=====

TbGeRh: optimized geometry, PBE-GGA.

abc: 5.7901 5.7901 5.7901
angles: 147.24 147.24 47.00
Fractional positions:
1 Tb 0.0000 0.0000 0.0000
2 Ge 0.3029 0.3029 0.0000
3 Rh 0.6886 0.6886 0.0000

Computed properties:
Formation energy from the elements = -0.6546 eV per atom
Volume = 18.87 Å³ per atom
Density of states at the Fermi level = 0.655 states/eV/atom

=====

TbGe4Rh4: optimized geometry, PBE-GGA.

abc: 6.1382 6.1382 8.1933
angles: 90.00 90.00 90.00
Fractional positions:
1 Tb 0.2500 0.7500 0.2500
2 Tb 0.7500 0.2500 0.7500
3 Ge 0.0391 0.2500 0.0702
4 Ge 0.2500 0.0391 0.5702
5 Ge 0.2500 0.4609 0.5702
6 Ge 0.4609 0.2500 0.0702
7 Ge 0.5391 0.7500 0.9298
8 Ge 0.7500 0.5391 0.4298
9 Ge 0.7500 0.9609 0.4298
10 Ge 0.9609 0.7500 0.9298
11 Rh 0.0206 0.2500 0.3706
12 Rh 0.2500 0.0206 0.8706
13 Rh 0.2500 0.4794 0.8706
14 Rh 0.4794 0.2500 0.3706
15 Rh 0.5206 0.7500 0.6294
16 Rh 0.7500 0.5206 0.1294
17 Rh 0.7500 0.9794 0.1294
18 Rh 0.9794 0.7500 0.6294

Computed properties:
Formation energy from the elements = -0.5897 eV per atom
Volume = 17.15 Å³ per atom
Density of states at the Fermi level = 0.606 states/eV/atom

=====

TbGe2Rh3: optimized geometry, PBE-GGA.

abc: 8.4293 8.4293 9.7998
angles: 107.35 107.35 27.70
Fractional positions:
1 Tb 0.0000 0.0000 0.0000
2 Tb 0.1632 0.1632 0.7039
3 Tb 0.8368 0.8368 0.2961
4 Ge 0.1930 0.1930 0.1270
5 Ge 0.3615 0.3615 0.5465
6 Ge 0.4613 0.4613 0.2195
7 Ge 0.5387 0.5387 0.7805
8 Ge 0.6385 0.6385 0.4535
9 Ge 0.8070 0.8070 0.8730
10 Rh 0.0397 0.0397 0.3306
11 Rh 0.2157 0.2157 0.3922
12 Rh 0.3202 0.3202 0.0410
13 Rh 0.3814 0.3814 0.8039
14 Rh 0.5000 0.5000 0.5000
15 Rh 0.6186 0.6186 0.1961
16 Rh 0.6798 0.6798 0.9590
17 Rh 0.7843 0.7843 0.6078
18 Rh 0.9603 0.9603 0.6694

Computed properties:
Formation energy from the elements = -0.8022 eV per atom
Volume = 17.11 Å³ per atom
Density of states at the Fermi level = 0.526 states/eV/atom

=====

Tb2Ge3Rh5: optimized geometry, PBE-GGA.

abc: 12.4735 12.4735 6.6822
angles: 90.00 90.00 160.90
Fractional positions:
1 Tb 0.0189 0.9811 0.5000
2 Tb 0.3253 0.6747 0.5086
3 Tb 0.6747 0.3253 0.0086
4 Tb 0.9811 0.0189 0.0000
5 Ge 0.1118 0.8882 0.2500
6 Ge 0.2708 0.7292 0.0189
7 Ge 0.4520 0.5480 0.2880
8 Ge 0.5480 0.4520 0.7880
9 Ge 0.7292 0.2708 0.5189
10 Ge 0.8882 0.1118 0.7500
11 Rh 0.1003 0.8997 0.8499
12 Rh 0.2073 0.7927 0.7272
13 Rh 0.2094 0.7906 0.3150
14 Rh 0.3711 0.6289 0.0299
15 Rh 0.4429 0.5571 0.6619
16 Rh 0.5571 0.4429 0.1619
17 Rh 0.6289 0.3711 0.5299
18 Rh 0.7906 0.2094 0.8150
19 Rh 0.7927 0.2073 0.2272
20 Rh 0.8997 0.1003 0.3499

Computed properties:
Formation energy from the elements = -0.7794 eV per atom
Volume = 17.01 Å³ per atom
Density of states at the Fermi level = 0.495 states/eV/atom

=====

Tb3Ge4Rh7: optimized geometry, PBE-GGA.

abc: 7.9791 7.9791 9.3709
angles: 123.63 123.63 29.59
Fractional positions:
1 Tb 0.0000 0.0000 0.0000
2 Tb 0.3313 0.3313 0.3361
3 Tb 0.6687 0.6687 0.6639
4 Ge 0.1122 0.1122 0.8356
5 Ge 0.3340 0.3340 0.7237
6 Ge 0.6660 0.6660 0.2763
7 Ge 0.8878 0.8878 0.1644
8 Rh 0.0000 0.0000 0.5000
9 Rh 0.1618 0.1618 0.4239
10 Rh 0.3055 0.3055 0.9581
11 Rh 0.4936 0.4936 0.7221
12 Rh 0.5064 0.5064 0.2779
13 Rh 0.6945 0.6945 0.0419
14 Rh 0.8382 0.8382 0.5761

Computed properties:
Formation energy from the elements = -0.8766 eV per atom
Volume = 17.25 Å³ per atom
Density of states at the Fermi level = 0.411 states/eV/atom

=====

Tb2Ge4Rh3: optimized geometry, PBE-GGA.

abc: 7.8314 6.7640 5.5673
angles: 78.19 57.72 44.09
Fractional positions:
1 Tb 0.1327 0.1327 0.8673
2 Tb 0.8673 0.8673 0.1327
3 Ge 0.1723 0.5094 0.4906
4 Ge 0.4906 0.8277 0.1723
5 Ge 0.5094 0.1723 0.8277
6 Ge 0.8277 0.4906 0.5094
7 Rh 0.0000 0.0000 0.5000
8 Rh 0.5000 0.5000 0.0000
9 Rh 0.5000 0.5000 0.5000

Computed properties:
Formation energy from the elements = -0.7262 eV per atom
Volume = 18.36 Å³ per atom
Density of states at the Fermi level = 0.591 states/eV/atom

=====

Tb5Ge5Rh2: optimized geometry, PBE-GGA.

abc: 7.8827 7.8827 10.9005
angles: 129.28 129.28 31.15
Fractional positions:
1 Tb 0.0000 0.0000 0.0000
2 Tb 0.1173 0.1173 0.4203
3 Tb 0.1940 0.1940 0.8229
4 Tb 0.8060 0.8060 0.1771
5 Tb 0.8827 0.8827 0.5797
6 Ge 0.2546 0.2546 0.3060
7 Ge 0.4405 0.4405 0.1617
8 Ge 0.5000 0.5000 0.5000
9 Ge 0.5595 0.5595 0.8383
10 Ge 0.7454 0.7454 0.6940
11 Rh 0.3566 0.3566 0.7463
12 Rh 0.6434 0.6434 0.2537

Computed properties:
Formation energy from the elements = -0.8280 eV per atom
Volume = 22.01 Å³ per atom
Density of states at the Fermi level = 0.690 states/eV/atom

=====

What is the formation energy from the elements in the second record? -0.6546 eV per atom

=====

Among the records above, which one has the lowest density of states at the Fermi level? Tb3Ge4Rh7

=====

What is the formula in the fourth record? TbGe2Rh3

=====

The lowest volume belongs to which entry? Tb2Ge3Rh5